Record 1
## AgSeO (PBE)

Data for an optimized crystal structure of AgSeO.

It has space group P1 (No. 1), with a = 4.316 Å, b = 4.753 Å, c = 6.468 Å, α = 109.43°, β = 107.49° and γ = 90.79°. The asymmetric unit holds Ag at (0.000, 0.000, 0.000), Ag at (0.455, 0.708, 0.346), Se at (0.282, 0.322, 0.686), Se at (0.778, 0.531, 0.057), O at (0.220, 0.959, 0.675) and O at (0.453, 0.270, 0.471).

The value obtained for the density is 5.690 Mg/m³. As for the energy above the most stable polymorph in this dataset: 0.000 eV/atom. Its magnetization is 0.00 μB/cell.

Record 2
## ZrNiBRh2 (PBE)

Data for an optimized crystal structure of ZrNiBRh2.

It has space group P4/mmm (No. 123), with a = 4.143 Å, b = 4.143 Å, c = 3.988 Å, α = 90.00°, β = 90.00° and γ = 90.00°. The asymmetric unit holds Zr at (0.000, 0.000, 0.000), Ni at (0.500, 0.500, 0.000), B at (0.500, 0.500, 0.500) and Rh at (0.000, 0.500, 0.500).

The value obtained for the density is 8.892 Mg/m³. Its magnetization is 0.00 μB/cell. The energy of formation comes out at -2.81 eV per formula unit.

Record 3
## NiSb2RhI (PBE)

Data for an optimized crystal structure of NiSb2RhI.

It has space group P4/mmm (No. 123), with a = 5.053 Å, b = 5.053 Å, c = 5.567 Å, α = 90.00°, β = 90.00° and γ = 90.00°. The asymmetric unit holds Ni at (0.000, 0.000, 0.000), Sb at (0.000, 0.500, 0.500), Rh at (0.500, 0.500, 0.500) and I at (0.500, 0.500, 0.000).

The value obtained for the density is 6.217 Mg/m³. As for the energy above the most stable polymorph in this dataset: 0.046 eV/atom. Its magnetization is 0.52 μB/cell.

Record 4
## CsCa2F5 (PBE)

Data for an optimized crystal structure of CsCa2F5.

It has space group Immm (No. 71), with a = 3.693 Å, b = 5.966 Å, c = 12.427 Å, α = 90.00°, β = 90.00° and γ = 90.00°. The asymmetric unit holds Cs at (0.000, 0.000, 0.000), Ca at (0.000, 0.500, 0.183), F at (0.000, 0.246, 0.331) and F at (0.000, 0.500, 0.000).

The value obtained for the density is 3.736 Mg/m³. Its magnetization is 0.16 μB/cell. The value obtained for the total energy is -5.369 eV/atom.

Record 5
## NdErAg (PBE)

Data for an optimized crystal structure of NdErAg.

It has space group I4mm (No. 107), with a = 3.615 Å, b = 3.615 Å, c = 12.830 Å, α = 90.00°, β = 90.00° and γ = 90.00°. The asymmetric unit holds Nd at (0.000, 0.000, 0.000), Er at (0.000, 0.000, 0.298) and Ag at (0.000, 0.000, 0.665).

The value obtained for the density is 8.306 Mg/m³. As for the energy above the most stable polymorph in this dataset: 0.000 eV/atom. Its magnetization is 0.27 μB/cell. The energy of formation comes out at -0.50 eV per formula unit.

Record 6
## Tb2HgPt (PBE)

Data for an optimized crystal structure of Tb2HgPt.

It has space group R-3m (No. 166, hexagonal axes), with a = 4.0888 Å, b = 4.0888 Å, c = 22.5839 Å, α = 90.00°, β = 90.00° and γ = 120.00°. The asymmetric unit holds Tb at (0.0000, 0.0000, 0.2359), Hg at (0.0000, 0.0000, 0.0000) and Pt at (0.0000, 0.0000, 0.5000).

The value obtained for the density is 10.871 Mg/m³. As for the energy above the most stable polymorph in this dataset: 0.063 eV/atom. Its magnetization is 0.00 μB/cell. The energy of formation comes out at -3.17 eV per formula unit.

Record 7
## Y5Pd4Pt (PBE)

Data for an optimized crystal structure of Y5Pd4Pt.

It has space group P4/mmm (No. 123), with a = 3.487 Å, b = 3.487 Å, c = 17.872 Å, α = 90.00°, β = 90.00° and γ = 90.00°. The asymmetric unit holds Y at (0.000, 0.000, 0.000), Y at (0.000, 0.000, 0.201), Y at (0.000, 0.000, 0.402), Pd at (0.500, 0.500, 0.100), Pd at (0.500, 0.500, 0.300) and Pt at (0.500, 0.500, 0.500).

The value obtained for the density is 8.139 Mg/m³. Its magnetization is 0.00 μB/cell. The energy of formation comes out at -9.37 eV per formula unit.

Record 8
## NaMgN3 (PBE)

Data for an optimized crystal structure of NaMgN3.

It has space group Pm-3m (No. 221), with a = 4.142 Å, b = 4.142 Å, c = 4.142 Å, α = 90.00°, β = 90.00° and γ = 90.00°. The asymmetric unit holds Na at (0.000, 0.000, 0.000), Mg at (0.500, 0.500, 0.500) and N at (0.000, 0.500, 0.500).

The value obtained for the density is 2.087 Mg/m³. Its magnetization is 5.66 μB/cell. The value obtained for the total energy is -4.049 eV/atom.

Record 9
## Hf2ZnPd3 (PBE)

Data for an optimized crystal structure of Hf2ZnPd3.

It has space group P-1 (No. 2), with a = 4.661 Å, b = 4.750 Å, c = 10.810 Å, α = 95.62°, β = 90.05° and γ = 119.35°. The asymmetric unit holds Hf at (0.000, 0.000, 0.000), Hf at (0.000, 0.000, 0.500), Hf at (0.285, 0.572, 0.305), Zn at (0.393, 0.783, 0.814), Pd at (0.072, 0.142, 0.759), Pd at (0.330, 0.659, 0.054) and Pd at (0.336, 0.671, 0.563).

The value obtained for the density is 11.883 Mg/m³. As for the energy above the most stable polymorph in this dataset: 0.000 eV/atom. Its magnetization is 0.00 μB/cell. The energy of formation comes out at -3.89 eV per formula unit.

Record 10
## TcMoPt2 (PBE)

Data for an optimized crystal structure of TcMoPt2.

It has space group Fm-3m (No. 225), with a = 6.320 Å, b = 6.320 Å, c = 6.320 Å, α = 90.00°, β = 90.00° and γ = 90.00°. The asymmetric unit holds Tc at (0.000, 0.000, 0.000), Mo at (0.000, 0.000, 0.500) and Pt at (0.250, 0.250, 0.250).

The value obtained for the density is 15.366 Mg/m³. As for the energy above the most stable polymorph in this dataset: 0.518 eV/atom. Its magnetization is 4.09 μB/cell. The energy of formation comes out at 1.05 eV per formula unit.

Record 11
## CoNiCl4 (PBE)

Data for an optimized crystal structure of CoNiCl4.

It has space group C2/c (No. 15), with a = 6.730 Å, b = 15.089 Å, c = 6.302 Å, α = 90.00°, β = 122.20° and γ = 90.00°. The asymmetric unit holds Co at (0.000, 0.063, 0.250), Ni at (0.000, 0.434, 0.750), Cl at (0.243, 0.164, 0.262) and Cl at (0.247, 0.043, 0.772).

The value obtained for the density is 3.182 Mg/m³. Its magnetization is 11.94 μB/cell. The value obtained for the total energy is -3.847 eV/atom.

Record 12
## ZrCdSbF2 (PBE)

Data for an optimized crystal structure of ZrCdSbF2.

It has space group P4/mmm (No. 123), with a = 4.191 Å, b = 4.191 Å, c = 6.203 Å, α = 90.00°, β = 90.00° and γ = 90.00°. The asymmetric unit holds Zr at (0.000, 0.000, 0.000), Cd at (0.000, 0.000, 0.500), Sb at (0.500, 0.500, 0.500) and F at (0.000, 0.500, 0.000).

The value obtained for the density is 5.539 Mg/m³. Its magnetization is 0.39 μB/cell. The value obtained for the total energy is -4.993 eV/atom.